[1]
A relaxed Er2BiS crystal, computed with PBE.

Lattice parameters (Å, degrees): 7.293 7.293 7.293 32.83 32.83 32.83
Atoms (fractional coordinates):
Er  0.238  0.238  0.238
Er  0.762  0.762  0.762
Bi  0.000  0.000  0.000
S  0.500  0.500  0.500

## Properties
Raw formation energy = -1.3070 eV per atom
SG = R-3m (166)

[2]
A relaxed CaEr2Pd3 crystal, computed with PBE.

Lattice parameters (Å, degrees): 3.465 3.465 10.708 90.00 90.00 90.00
Atoms (fractional coordinates):
Ca  0.000  0.000  0.000
Er  0.000  0.000  0.334
Er  0.000  0.000  0.666
Pd  0.500  0.500  0.187
Pd  0.500  0.500  0.500
Pd  0.500  0.500  0.813

## Properties
SG = P4/mmm (123)
Formation enthalpy at 0 K = -0.870 eV per atom

[3]
A relaxed Ag4IBr5 crystal, computed with PBE.

Lattice parameters (Å, degrees): 8.139 11.622 6.787 90.00 90.00 90.00
Atoms (fractional coordinates):
Ag  0.013  0.250  0.008
Ag  0.250  0.506  0.498
Ag  0.250  0.994  0.498
Ag  0.487  0.250  0.008
Ag  0.513  0.750  0.992
Ag  0.750  0.006  0.502
Ag  0.750  0.494  0.502
Ag  0.987  0.750  0.992
I  0.250  0.750  0.248
I  0.750  0.250  0.752
Br  0.003  0.079  0.278
Br  0.003  0.421  0.278
Br  0.250  0.250  0.749
Br  0.497  0.079  0.278
Br  0.497  0.421  0.278
Br  0.503  0.579  0.722
Br  0.503  0.921  0.722
Br  0.750  0.750  0.251
Br  0.997  0.579  0.722
Br  0.997  0.921  0.722

## Properties
Raw formation energy = -0.2213 eV per atom
SG = Pmmn (59)

[4]
A relaxed DyHo2UN4 crystal, computed with PBE.

Lattice parameters (Å, degrees): 5.960 3.449 5.964 90.00 109.02 90.00
Atoms (fractional coordinates):
Dy  0.000  0.000  0.000
Ho  0.500  0.000  0.500
Ho  0.500  0.500  0.000
U  0.000  0.500  0.500
N  0.240  0.500  0.263
N  0.243  0.000  0.741
N  0.757  0.000  0.259
N  0.760  0.500  0.737

## Properties
Raw formation energy = -1.6378 eV per atom
SG = P2/m (10)

[5]
A relaxed Ca4HgPd crystal, computed with PBE.

Lattice parameters (Å, degrees): 8.398 8.398 6.469 105.90 105.90 111.58
Atoms (fractional coordinates):
Ca  0.056  0.706  0.916
Ca  0.226  0.357  0.703
Ca  0.294  0.944  0.584
Ca  0.357  0.226  0.203
Ca  0.643  0.774  0.797
Ca  0.706  0.056  0.416
Ca  0.774  0.643  0.297
Ca  0.944  0.294  0.084
Hg  0.367  0.633  0.250
Hg  0.633  0.367  0.750
Pd  0.002  0.998  0.750
Pd  0.998  0.002  0.250

## Properties
SG = C2/c (15)
Formation enthalpy at 0 K = -0.462 eV per atom

[6]
A relaxed GeHS3 crystal, computed with PBE.

Lattice parameters (Å, degrees): 4.726 4.726 4.726 90.00 90.00 90.00
Atoms (fractional coordinates):
Ge  0.000  0.000  0.000
H  0.500  0.500  0.500
S  0.000  0.000  0.500
S  0.000  0.500  0.000
S  0.500  0.000  0.000

## Properties
SG = Pm-3m (221)
E = -0.226 Ry per atom

[7]
A relaxed Nd2HoSb3 crystal, computed with PBE.

Lattice parameters (Å, degrees): 7.745 7.745 7.745 146.41 131.76 60.07
Atoms (fractional coordinates):
Nd  0.168  0.168  0.000
Nd  0.832  0.832  0.000
Ho  0.500  0.500  0.000
Sb  0.000  0.500  0.500
Sb  0.339  0.839  0.500
Sb  0.661  0.161  0.500

## Properties
Raw formation energy = -1.1559 eV per atom
SG = Immm (71)

[8]
A relaxed RbAg2TeS4 crystal, computed with PBE.

Lattice parameters (Å, degrees): 7.749 7.749 8.356 116.10 116.10 85.41
Atoms (fractional coordinates):
Rb  0.000  0.500  0.000
Rb  0.500  0.000  0.500
Ag  0.000  0.000  0.000
Ag  0.000  0.000  0.500
Ag  0.000  0.500  0.500
Ag  0.500  0.000  0.000
Te  0.500  0.500  0.000
Te  0.500  0.500  0.500
S  0.184  0.253  0.353
S  0.215  0.724  0.511
S  0.253  0.184  0.853
S  0.276  0.785  0.989
S  0.724  0.215  0.011
S  0.747  0.816  0.147
S  0.785  0.276  0.489
S  0.816  0.747  0.647

## Properties
Raw formation energy = -0.1020 eV per atom
SG = C2/c (15)

[9]
A relaxed MgZn3Ag3 crystal, computed with PBE.

Lattice parameters (Å, degrees): 7.541 7.541 4.737 90.00 90.00 120.00
Atoms (fractional coordinates):
Mg  0.333  0.667  0.250
Mg  0.667  0.333  0.750
Zn  0.036  0.224  0.250
Zn  0.188  0.964  0.250
Zn  0.224  0.188  0.750
Zn  0.776  0.812  0.250
Zn  0.812  0.036  0.750
Zn  0.964  0.776  0.750
Ag  0.089  0.458  0.750
Ag  0.369  0.911  0.750
Ag  0.458  0.369  0.250
Ag  0.542  0.631  0.750
Ag  0.631  0.089  0.250
Ag  0.911  0.542  0.250

## Properties
SG = P6_3/m (176)
Formation enthalpy at 0 K = -0.104 eV per atom

[10]
A relaxed VTcAs crystal, computed with PBE.

Lattice parameters (Å, degrees): 7.101 7.101 7.101 157.95 157.95 31.39
Atoms (fractional coordinates):
V  0.000  0.000  0.000
Tc  0.162  0.162  0.000
As  0.366  0.366  0.000

## Properties
SG = I4mm (107)
Formation enthalpy at 0 K = 0.524 eV per atom

[11]
A relaxed RbZn2F6 crystal, computed with PBE.

Lattice parameters (Å, degrees): 5.410 5.410 6.070 90.00 90.00 120.00
Atoms (fractional coordinates):
Rb  0.000  0.000  0.000
Zn  0.333  0.667  0.500
Zn  0.667  0.333  0.500
F  0.000  0.390  0.686
F  0.000  0.610  0.314
F  0.390  0.000  0.686
F  0.390  0.390  0.314
F  0.610  0.000  0.314
F  0.610  0.610  0.686

## Properties
Raw formation energy = -2.2059 eV per atom
SG = P-31m (162)

[12]
A relaxed CrTcCl crystal, computed with PBE.

Lattice parameters (Å, degrees): 4.019 4.019 2.874 90.00 90.00 120.00
Atoms (fractional coordinates):
Cr  0.000  0.000  0.000
Tc  0.333  0.667  0.534
Cl  0.667  0.333  0.850

## Properties
Raw formation energy = 0.5820 eV per atom
SG = P3m1 (156)

The records above give, respectively, M_tot values of 0.00 0.00 0.00 1.52 0.00 0.82 0.00 0.00 0.00 0.00 1.11 0.00 μB per formula unit.